# PBE-GGA CsLiZn3, relaxed
# **Total magnetic moment**: 0.00 μB/f.u.
# **Volume**: 57.92 Å³/atom
# **Calculated formation energy**: 809 meV per atom
# **ΔE to the lowest computed polymorph**: 55.9 kJ per mole of atoms
# **Density**: 1.9 g/cm3
# **Calculated total energy**: -0.509 eV per atom
data_CsLiZn3
_chemical_formula_sum 'Cs1 Li1 Zn3'
_cell_length_a 6.6162
_cell_length_b 6.6162
_cell_length_c 6.6162
_cell_angle_alpha 90.00
_cell_angle_beta 90.00
_cell_angle_gamma 90.00
_space_group_name_H-M_alt 'P m -3 m'
_space_group_IT_number 221
_space_group_name_Hall '-P 4 2 3'
loop_
_atom_site_label
_atom_site_type_symbol
_atom_site_fract_x
_atom_site_fract_y
_atom_site_fract_z
Cs1 Cs 0.0000 0.0000 0.0000
Li1 Li 0.5000 0.5000 0.5000
Zn1 Zn 0.0000 0.0000 0.5000

# PBE-GGA SmCu12Pt6, relaxed
# **Total magnetic moment**: 0.00 μB/f.u.
# **Volume**: 15.55 Å³/atom
# **Calculated formation energy**: 16 meV per atom
# **Density**: 11.7 g/cm3
# **Calculated total energy**: -4.727 eV per atom
data_SmCu12Pt6
_chemical_formula_sum 'Sm3 Cu36 Pt18'
_cell_length_a 10.8946
_cell_length_b 10.8946
_cell_length_c 8.6203
_cell_angle_alpha 90.00
_cell_angle_beta 90.00
_cell_angle_gamma 120.00
_space_group_name_H-M_alt 'R -3 m'
_space_group_IT_number 166
_space_group_name_Hall '-R 3 2"'
loop_
_atom_site_label
_atom_site_type_symbol
_atom_site_fract_x
_atom_site_fract_y
_atom_site_fract_z
Sm1 Sm 0.0000 0.0000 0.0000
Cu1 Cu 0.0000 0.3926 0.5000
Cu2 Cu 0.0852 0.1704 0.2823
Pt1 Pt 0.0638 0.5319 0.2400

# PBE-GGA NaZnHg2F6, relaxed
# **Total magnetic moment**: 0.00 μB/f.u.
# **Volume**: 15.04 Å³/atom
# **Energy relative to the elements, uncorrected**: -1.832 eV/atom
# **Density**: 6.7 g/cm3
# **Calculated total energy**: -3.274 eV per atom
data_NaZnHg2F6
_chemical_formula_sum 'Na3 Zn3 Hg6 F18'
_cell_length_a 5.8859
_cell_length_b 5.8859
_cell_length_c 15.0357
_cell_angle_alpha 90.00
_cell_angle_beta 90.00
_cell_angle_gamma 120.00
_space_group_name_H-M_alt 'R 3'
_space_group_IT_number 146
_space_group_name_Hall 'R 3'
loop_
_atom_site_label
_atom_site_type_symbol
_atom_site_fract_x
_atom_site_fract_y
_atom_site_fract_z
Na1 Na 0.0000 0.0000 0.0000
Zn1 Zn 0.0000 0.0000 0.4928
Hg1 Hg 0.0000 0.0000 0.2669
Hg2 Hg 0.0000 0.0000 0.7795
F1 F 0.0046 0.4067 0.2293
F2 F 0.0668 0.6955 0.0724

# PBE-GGA SrBe2Ga, relaxed
# **Total magnetic moment**: 0.00 μB/f.u.
# **Volume**: 20.89 Å³/atom
# **Calculated formation energy**: 156 meV per atom
# **Density**: 3.5 g/cm3
# **Calculated total energy**: -2.884 eV per atom
data_SrBe2Ga
_chemical_formula_sum 'Sr4 Be8 Ga4'
_cell_length_a 4.6194
_cell_length_b 4.6194
_cell_length_c 15.6654
_cell_angle_alpha 90.00
_cell_angle_beta 90.00
_cell_angle_gamma 90.00
_space_group_name_H-M_alt 'I 41/a m d'
_space_group_IT_number 141
loop_
_space_group_symop_operation_xyz
'x,y,z'
'-x,-y,-z'
'-y+1/4,x+3/4,z+1/4'
'y+1/4,-x+3/4,-z+1/4'
'-x+1/2,-y,z+1/2'
'x+1/2,y,-z+1/2'
'y+1/4,-x+1/4,z+3/4'
'-y+1/4,x+1/4,-z+3/4'
'x,-y,-z'
'-x,y,z'
'-y+1/4,-x+1/4,-z+3/4'
'y+1/4,x+1/4,z+3/4'
'-x+1/2,y,-z+1/2'
'x+1/2,-y,z+1/2'
'y+1/4,x+3/4,-z+1/4'
'-y+1/4,-x+3/4,z+1/4'
'x+1/2,y+1/2,z+1/2'
'-x+1/2,-y+1/2,-z+1/2'
'-y+3/4,x+1/4,z+3/4'
'y+3/4,-x+1/4,-z+3/4'
'-x,-y+1/2,z'
'x,y+1/2,-z'
'y+3/4,-x+3/4,z+1/4'
'-y+3/4,x+3/4,-z+1/4'
'x+1/2,-y+1/2,-z+1/2'
'-x+1/2,y+1/2,z+1/2'
'-y+3/4,-x+3/4,-z+1/4'
'y+3/4,x+3/4,z+1/4'
'-x,y+1/2,-z'
'x,-y+1/2,z'
'y+3/4,x+1/4,-z+3/4'
'-y+3/4,-x+1/4,z+3/4'
loop_
_atom_site_label
_atom_site_type_symbol
_atom_site_fract_x
_atom_site_fract_y
_atom_site_fract_z
Sr1 Sr 0.0000 0.2500 0.3750
Be1 Be 0.0000 0.0000 0.0000
Ga1 Ga 0.0000 0.2500 0.8750

# PBE-GGA Ca3PuHg12, relaxed
# **Total magnetic moment**: 6.31 μB/f.u.
# **Volume**: 25.90 Å³/atom
# **Calculated formation energy**: -307 meV per atom
# **Density**: 11.1 g/cm3
# **Calculated total energy**: -1.805 eV per atom
data_Ca3PuHg12
_chemical_formula_sum 'Ca3 Pu1 Hg12'
_cell_length_a 4.6909
_cell_length_b 4.6909
_cell_length_c 18.8303
_cell_angle_alpha 90.00
_cell_angle_beta 90.00
_cell_angle_gamma 90.00
_space_group_name_H-M_alt 'P 4/m m m'
_space_group_IT_number 123
_space_group_name_Hall '-P 4 2'
loop_
_atom_site_label
_atom_site_type_symbol
_atom_site_fract_x
_atom_site_fract_y
_atom_site_fract_z
Ca1 Ca 0.0000 0.0000 0.0000
Ca2 Ca 0.0000 0.0000 0.2486
Pu1 Pu 0.0000 0.0000 0.5000
Hg1 Hg 0.0000 0.5000 0.1245
Hg2 Hg 0.0000 0.5000 0.3756
Hg3 Hg 0.5000 0.5000 0.0000
Hg4 Hg 0.5000 0.5000 0.2495
Hg5 Hg 0.5000 0.5000 0.5000

# PBE-GGA CuOsRh, relaxed
# **Total magnetic moment**: 0.00 μB/f.u.
# **Volume**: 13.58 Å³/atom
# **Calculated formation energy**: 50 meV per atom
# **ΔE to the lowest computed polymorph**: 1.6 kJ per mole of atoms
# **Density**: 14.5 g/cm3
# **Calculated total energy**: -7.509 eV per atom
data_CuOsRh
_chemical_formula_sum 'Cu2 Os2 Rh2'
_cell_length_a 2.7269
_cell_length_b 2.7269
_cell_length_c 10.9598
_cell_angle_alpha 90.00
_cell_angle_beta 90.00
_cell_angle_gamma 90.00
_space_group_name_H-M_alt 'P 4/n m m'
_space_group_IT_number 129
loop_
_space_group_symop_operation_xyz
'x,y,z'
'-x,-y,-z'
'-y+1/2,x,z'
'y+1/2,-x,-z'
'-x+1/2,-y+1/2,z'
'x+1/2,y+1/2,-z'
'y,-x+1/2,z'
'-y,x+1/2,-z'
'x+1/2,-y,-z'
'-x+1/2,y,z'
'-y,-x,-z'
'y,x,z'
'-x,y+1/2,-z'
'x,-y+1/2,z'
'y+1/2,x+1/2,-z'
'-y+1/2,-x+1/2,z'
loop_
_atom_site_label
_atom_site_type_symbol
_atom_site_fract_x
_atom_site_fract_y
_atom_site_fract_z
Cu1 Cu 0.2500 0.2500 0.0737
Os1 Os 0.2500 0.2500 0.4119
Rh1 Rh 0.2500 0.2500 0.7585

# PBE-GGA NaCuGeAu3, relaxed
# **Total magnetic moment**: 0.00 μB/f.u.
# **Volume**: 21.15 Å³/atom
# **Calculated formation energy**: -50 meV per atom
# **Density**: 9.8 g/cm3
# **Calculated total energy**: -3.360 eV per atom
data_NaCuGeAu3
_chemical_formula_sum 'Na4 Cu4 Ge4 Au12'
_cell_length_a 7.7397
_cell_length_b 11.5230
_cell_length_c 5.6927
_cell_angle_alpha 90.00
_cell_angle_beta 90.00
_cell_angle_gamma 90.00
_space_group_name_H-M_alt 'C m c m'
_space_group_IT_number 63
_space_group_name_Hall '-C 2c 2'
loop_
_atom_site_label
_atom_site_type_symbol
_atom_site_fract_x
_atom_site_fract_y
_atom_site_fract_z
Na1 Na 0.0000 0.2002 0.2500
Cu1 Cu 0.0000 0.4447 0.2500
Ge1 Ge 0.0000 0.1116 0.7500
Au1 Au 0.0000 0.3295 0.7500
Au2 Au 0.2310 0.0000 0.0000

# PBE-GGA ZrCu, relaxed
# **Total magnetic moment**: 0.00 μB/f.u.
# **Volume**: 18.19 Å³/atom
# **Calculated formation energy**: 156 meV per atom
# **Density**: 7.1 g/cm3
# **Calculated total energy**: -6.167 eV per atom
data_ZrCu
_chemical_formula_sum 'Zr1 Cu1'
_cell_length_a 3.0721
_cell_length_b 3.0721
_cell_length_c 4.4511
_cell_angle_alpha 90.00
_cell_angle_beta 90.00
_cell_angle_gamma 120.00
_space_group_name_H-M_alt 'P -6 m 2'
_space_group_IT_number 187
_space_group_name_Hall 'P -6 2'
loop_
_atom_site_label
_atom_site_type_symbol
_atom_site_fract_x
_atom_site_fract_y
_atom_site_fract_z
Zr1 Zr 0.0000 0.0000 0.0000
Cu1 Cu 0.6667 0.3333 0.5000

# PBE-GGA CoPdI5, relaxed
# **Total magnetic moment**: 2.04 μB/f.u.
# **Volume**: 44.46 Å³/atom
# **Energy relative to the elements, uncorrected**: -0.091 eV/atom
# **Density**: 4.3 g/cm3
# **Calculated total energy**: -2.955 eV per atom
data_CoPdI5
_chemical_formula_sum 'Co4 Pd4 I20'
_cell_length_a 12.6732
_cell_length_b 7.7735
_cell_length_c 12.6422
_cell_angle_alpha 90.00
_cell_angle_beta 91.87
_cell_angle_gamma 90.00
_space_group_name_H-M_alt 'C 1 2/c 1'
_space_group_IT_number 15
_space_group_name_Hall '-C 2yc'
loop_
_atom_site_label
_atom_site_type_symbol
_atom_site_fract_x
_atom_site_fract_y
_atom_site_fract_z
Co1 Co 0.0000 0.2365 0.2500
Pd1 Pd 0.0000 0.5000 0.0000
I1 I 0.0000 0.0866 0.7500
I2 I 0.1071 0.2394 0.4269
I3 I 0.1376 0.4204 0.1524

# PBE-GGA Nb5VRu4, relaxed
# **Total magnetic moment**: 0.00 μB/f.u.
# **Volume**: 16.07 Å³/atom
# **Calculated formation energy**: -191 meV per atom
# **ΔE to the lowest computed polymorph**: 1.9 kJ per mole of atoms
# **Density**: 9.5 g/cm3
# **Calculated total energy**: -9.848 eV per atom
data_Nb5VRu4
_chemical_formula_sum 'Nb5 V1 Ru4'
_cell_length_a 3.1915
_cell_length_b 3.1915
_cell_length_c 15.7725
_cell_angle_alpha 90.00
_cell_angle_beta 90.00
_cell_angle_gamma 90.00
_space_group_name_H-M_alt 'P 4/m m m'
_space_group_IT_number 123
_space_group_name_Hall '-P 4 2'
loop_
_atom_site_label
_atom_site_type_symbol
_atom_site_fract_x
_atom_site_fract_y
_atom_site_fract_z
Nb1 Nb 0.0000 0.0000 0.0000
Nb2 Nb 0.0000 0.0000 0.2009
Nb3 Nb 0.0000 0.0000 0.4038
V1 V 0.5000 0.5000 0.5000
Ru1 Ru 0.5000 0.5000 0.0991
Ru2 Ru 0.5000 0.5000 0.2979

Q: Which of these has the lowest density?
A: CsLiZn3

Q: What is the total magnetic moment in the first record?
A: 0.00 μB/f.u.